Material: ZrAlIn2
Method: DFT, SCAN
State: single point on PBEsol structure

Output
total magnetic moment	0.001	μB per cell
DOS at the Fermi energy	0.787	states/eV per atom
DFT formation energy	-152	meV per atom

Cell and atoms, written as CIF:
```
data_ZrAlIn2
_chemical_formula_sum 'Zr1 Al1 In2'
_space_group_name_H-M_alt 'P 1'
_space_group_IT_number 1
_cell_length_a 3.7740
_cell_length_b 3.7740
_cell_length_c 5.9500
_cell_angle_alpha 90.00
_cell_angle_beta 90.00
_cell_angle_gamma 90.00
loop_
_space_group_symop_operation_xyz
'x,y,z'
loop_
_atom_site_label
_atom_site_type_symbol
_atom_site_fract_x
_atom_site_fract_y
_atom_site_fract_z
Zr1 Zr 0.0000 0.0000 0.0000
Al1 Al 0.5000 0.5000 0.2253
In1 In 0.0000 0.0000 0.4878
In2 In 0.5000 0.5000 0.7489
```